1.
Here is crystalline Tb12Pm5Ho at its relaxed geometry from Alexandria via LeMat-Bulk. Energies are from GGA-PBE.

Summary:
The uncorrected energy is -82.31 eV for the cell shown.

Lattice parameters (Å, degrees): 10.444 10.444 5.753 90.00 90.00 110.92
Fractional coordinates of all 18 atoms:
Tb1 0.027 0.667 0.000
Tb2 0.167 0.525 0.500
Tb3 0.202 0.202 0.500
Tb4 0.301 0.301 0.000
Tb5 0.333 0.973 0.000
Tb6 0.475 0.833 0.500
Tb7 0.525 0.167 0.500
Tb8 0.667 0.027 0.000
Tb9 0.699 0.699 0.000
Tb10 0.798 0.798 0.500
Tb11 0.833 0.475 0.500
Tb12 0.973 0.333 0.000
Pm1 0.000 0.000 0.000
Pm2 0.138 0.862 0.500
Pm3 0.364 0.636 0.000
Pm4 0.636 0.364 0.000
Pm5 0.862 0.138 0.500
Ho1 0.500 0.500 0.500



2.
Here is crystalline Tb3Pm2Ho7 at its relaxed geometry from Alexandria via LeMat-Bulk. Energies are from GGA-PBE.

Summary:
The value obtained for the offset from the most stable computed form is 0 meV per atom.

Lattice parameters (Å, degrees): 6.348 3.532 17.182 90.00 90.01 90.00
Fractional coordinates of all 12 atoms:
Tb1 0.000 0.000 0.000
Tb2 0.499 0.500 0.341
Tb3 0.501 0.500 0.659
Pm1 0.008 0.000 0.674
Pm2 0.992 0.000 0.326
Ho1 0.176 0.500 0.836
Ho2 0.256 0.000 0.499
Ho3 0.327 0.000 0.166
Ho4 0.500 0.500 0.000
Ho5 0.673 0.000 0.834
Ho6 0.744 0.000 0.501
Ho7 0.824 0.500 0.164



3.
Here is crystalline Tb11Pm4Ho9 at its relaxed geometry from Alexandria via LeMat-Bulk. Energies are from GGA-PBE.

Summary:
The uncorrected energy is -109.75 eV for the cell shown.

Lattice parameters (Å, degrees): 15.094 15.094 3.681 90.00 90.00 112.73
Fractional coordinates of all 24 atoms:
Tb1 0.000 0.000 0.000
Tb2 0.045 0.407 0.000
Tb3 0.159 0.841 0.000
Tb4 0.290 0.290 0.000
Tb5 0.365 0.635 0.000
Tb6 0.407 0.045 0.000
Tb7 0.593 0.955 0.000
Tb8 0.635 0.365 0.000
Tb9 0.710 0.710 0.000
Tb10 0.841 0.159 0.000
Tb11 0.955 0.593 0.000
Pm1 0.245 0.446 0.500
Pm2 0.446 0.245 0.500
Pm3 0.554 0.755 0.500
Pm4 0.755 0.554 0.500
Ho1 0.067 0.212 0.500
Ho2 0.163 0.634 0.500
Ho3 0.212 0.067 0.500
Ho4 0.366 0.837 0.500
Ho5 0.500 0.500 0.500
Ho6 0.634 0.163 0.500
Ho7 0.788 0.933 0.500
Ho8 0.837 0.366 0.500
Ho9 0.933 0.788 0.500



4.
Here is crystalline Tb2Pm6Ho3 at its relaxed geometry from Alexandria via LeMat-Bulk. Energies are from GGA-PBE.

Summary:
The uncorrected energy is -48.28 eV for the cell shown.

Lattice parameters (Å, degrees): 17.150 17.150 17.150 164.01 164.01 22.69
Fractional coordinates of all 11 atoms:
Tb1 0.045 0.045 0.000
Tb2 0.955 0.955 0.000
Pm1 0.121 0.621 0.500
Pm2 0.200 0.200 0.000
Pm3 0.379 0.879 0.500
Pm4 0.621 0.121 0.500
Pm5 0.800 0.800 0.000
Pm6 0.879 0.379 0.500
Ho1 0.302 0.302 0.000
Ho2 0.500 0.500 0.000
Ho3 0.698 0.698 0.000



5.
Here is crystalline Tb4Pm5Ho2 at its relaxed geometry from Alexandria via LeMat-Bulk. Energies are from GGA-PBE.

Summary:
The value obtained for the offset from the most stable computed form is 141 meV per atom.

Lattice parameters (Å, degrees): 12.717 12.717 12.717 164.09 137.77 45.40
Fractional coordinates of all 11 atoms:
Tb1 0.097 0.097 0.000
Tb2 0.191 0.500 0.691
Tb3 0.809 0.500 0.309
Tb4 0.903 0.903 0.000
Pm1 0.151 0.353 0.799
Pm2 0.446 0.647 0.799
Pm3 0.500 0.000 0.500
Pm4 0.554 0.353 0.201
Pm5 0.849 0.647 0.201
Ho1 0.230 0.230 0.000
Ho2 0.770 0.770 0.000



6.
Here is crystalline TbPmHo at its relaxed geometry from Alexandria via LeMat-Bulk. Energies are from GGA-PBE.

Summary:
The value obtained for the offset from the most stable computed form is 30 meV per atom.

Lattice parameters (Å, degrees): 3.538 20.305 5.426 90.00 90.00 90.00
Fractional coordinates of all 12 atoms:
Tb1 0.000 0.041 0.250
Tb2 0.000 0.959 0.750
Tb3 0.500 0.459 0.750
Tb4 0.500 0.541 0.250
Pm1 0.000 0.206 0.250
Pm2 0.000 0.794 0.750
Pm3 0.500 0.294 0.750
Pm4 0.500 0.706 0.250
Ho1 0.000 0.384 0.250
Ho2 0.000 0.616 0.750
Ho3 0.500 0.116 0.750
Ho4 0.500 0.884 0.250



7.
Here is crystalline TbPm4Ho3 at its relaxed geometry from Alexandria via LeMat-Bulk. Energies are from GGA-PBE.

Summary:
The value obtained for the offset from the most stable computed form is 172 meV per atom.

Lattice parameters (Å, degrees): 5.685 26.022 3.626 90.00 90.00 90.00
Fractional coordinates of all 16 atoms:
Tb1 0.000 0.000 0.000
Tb2 0.500 0.500 0.000
Pm1 0.000 0.103 0.500
Pm2 0.000 0.223 0.500
Pm3 0.000 0.777 0.500
Pm4 0.000 0.897 0.500
Pm5 0.500 0.277 0.500
Pm6 0.500 0.397 0.500
Pm7 0.500 0.603 0.500
Pm8 0.500 0.723 0.500
Ho1 0.000 0.349 0.000
Ho2 0.000 0.500 0.500
Ho3 0.000 0.651 0.000
Ho4 0.500 0.000 0.500
Ho5 0.500 0.151 0.000
Ho6 0.500 0.849 0.000



8.
Here is crystalline TbPm3Ho2 at its relaxed geometry from Alexandria via LeMat-Bulk. Energies are from GGA-PBE.

Summary:
The value obtained for the offset from the most stable computed form is 14 meV per atom.

Lattice parameters (Å, degrees): 9.513 9.513 6.213 90.15 90.15 44.39
Fractional coordinates of all 12 atoms:
Tb1 0.125 0.875 0.750
Tb2 0.875 0.125 0.250
Pm1 0.042 0.292 0.917
Pm2 0.292 0.042 0.417
Pm3 0.375 0.625 0.250
Pm4 0.625 0.375 0.750
Pm5 0.708 0.958 0.583
Pm6 0.958 0.708 0.083
Ho1 0.208 0.458 0.583
Ho2 0.458 0.208 0.083
Ho3 0.542 0.792 0.917
Ho4 0.792 0.542 0.417



9.
Here is crystalline Tb2Pm3Ho8 at its relaxed geometry from Alexandria via LeMat-Bulk. Energies are from GGA-PBE.

Summary:
The value obtained for the offset from the most stable computed form is 13 meV per atom.

Lattice parameters (Å, degrees): 10.770 10.770 5.616 90.04 90.04 41.75
Fractional coordinates of all 13 atoms:
Tb1 0.241 0.241 0.499
Tb2 0.759 0.759 0.501
Pm1 0.000 0.000 0.500
Pm2 0.291 0.709 0.000
Pm3 0.709 0.291 0.000
Ho1 0.134 0.134 0.000
Ho2 0.182 0.601 0.500
Ho3 0.330 0.330 0.999
Ho4 0.399 0.818 0.500
Ho5 0.601 0.182 0.500
Ho6 0.670 0.670 0.001
Ho7 0.818 0.399 0.500
Ho8 0.866 0.866 0.000



10.
Here is crystalline TbPm4Ho3 at its relaxed geometry from Alexandria via LeMat-Bulk. Energies are from GGA-PBE.

Summary:
The value obtained for the offset from the most stable computed form is 0 meV per atom.

Lattice parameters (Å, degrees): 11.511 7.310 6.305 90.00 90.00 90.00
Fractional coordinates of all 16 atoms:
Tb1 0.000 0.123 0.000
Tb2 0.500 0.877 0.500
Pm1 0.000 0.372 0.500
Pm2 0.000 0.627 0.997
Pm3 0.249 0.627 0.333
Pm4 0.251 0.373 0.833
Pm5 0.500 0.373 0.497
Pm6 0.500 0.628 0.000
Pm7 0.749 0.373 0.833
Pm8 0.751 0.627 0.333
Ho1 0.000 0.879 0.499
Ho2 0.250 0.122 0.332
Ho3 0.250 0.878 0.832
Ho4 0.500 0.121 0.999
Ho5 0.750 0.122 0.332
Ho6 0.750 0.878 0.832



11.
Here is crystalline Tb2PmHo3 at its relaxed geometry from Alexandria via LeMat-Bulk. Energies are from GGA-PBE.

Summary:
The value obtained for the offset from the most stable computed form is 0 meV per atom.

Lattice parameters (Å, degrees): 6.204 7.176 8.842 101.70 96.68 90.02
Fractional coordinates of all 12 atoms:
Tb1 0.138 0.208 0.335
Tb2 0.140 0.710 0.335
Tb3 0.860 0.290 0.665
Tb4 0.862 0.792 0.665
Pm1 0.250 0.375 0.000
Pm2 0.750 0.625 0.000
Ho1 0.250 0.876 0.999
Ho2 0.361 0.542 0.665
Ho3 0.362 0.041 0.665
Ho4 0.638 0.959 0.335
Ho5 0.639 0.458 0.335
Ho6 0.750 0.124 0.001



12.
Here is crystalline Tb3Pm3Ho4 at its relaxed geometry from Alexandria via LeMat-Bulk. Energies are from GGA-PBE.

Summary:
The uncorrected energy is -45.51 eV for the cell shown.

Lattice parameters (Å, degrees): 3.683 9.447 9.447 89.84 90.00 90.00
Fractional coordinates of all 10 atoms:
Tb1 0.000 0.000 0.000
Tb2 0.500 0.323 0.827
Tb3 0.500 0.827 0.323
Pm1 0.000 0.151 0.500
Pm2 0.000 0.500 0.151
Pm3 0.000 0.653 0.653
Ho1 0.500 0.200 0.200
Ho2 0.500 0.451 0.451
Ho3 0.500 0.703 0.952
Ho4 0.500 0.952 0.703